[1]
Th2CuGe3Ir4 GGA-PBE relaxed; D(E_F) = 6.27 states/eV/cell; calculated formation energy = -729 meV per atom
1.0
4.2133 0.0000 0.0000
0.0000 4.2133 0.0000
0.0000 0.0000 10.4039
Th Cu Ge Ir
2 1 3 4
Direct
0.0000 0.5000 0.2399
0.5000 0.0000 0.7601
0.5000 0.5000 0.0000
0.0000 0.0000 0.0000
0.0000 0.5000 0.6302
0.5000 0.0000 0.3698
0.0000 0.0000 0.5000
0.0000 0.5000 0.8634
0.5000 0.0000 0.1366
0.5000 0.5000 0.5000

***

[2]
Ir4RuRh2 GGA-PBE relaxed; E above lowest polymorph = 0.0000 eV per atom; D(E_F) = 7.02 states/eV/cell; calculated formation energy = 159 meV per atom
1.0
1.3585 -10.2777 0.0000
1.3585 10.2777 0.0000
0.0000 0.0000 3.8384
Ir Ru Rh
4 1 2
Direct
0.0661 0.9339 0.0000
0.3686 0.6314 0.5000
0.6314 0.3686 0.5000
0.9339 0.0661 0.0000
0.5000 0.5000 0.5000
0.1965 0.8035 0.0000
0.8035 0.1965 0.0000

***

[3]
Zr2TlBBr GGA-PBE relaxed; energy relative to the elements, uncorrected = 374 meV per atom; D(E_F) = 4.09 states/eV/cell
1.0
4.8048 0.0000 0.0000
0.0000 4.8048 0.0000
0.0000 0.0000 4.6362
Zr Tl B Br
2 1 1 1
Direct
0.0000 0.5000 0.0000
0.5000 0.0000 0.0000
0.0000 0.0000 0.5000
0.5000 0.5000 0.0000
0.5000 0.5000 0.5000

***

[4]
Cs2GaSn7 GGA-PBE relaxed; D(E_F) = 5.89 states/eV/cell; calculated formation energy = -138 meV per atom
1.0
5.2238 0.0000 0.0000
0.0000 5.2238 0.0000
0.0000 0.0000 12.8160
Cs Ga Sn
2 1 7
Direct
0.0000 0.5000 0.2445
0.5000 0.0000 0.7555
0.5000 0.5000 0.0000
0.0000 0.0000 0.0000
0.0000 0.0000 0.5000
0.0000 0.5000 0.6284
0.0000 0.5000 0.8840
0.5000 0.0000 0.1160
0.5000 0.0000 0.3716
0.5000 0.5000 0.5000

***

[5]
VNi4H5 GGA-PBE relaxed; uncorrected energy = -49.690 eV/f.u.; D(E_F) = 5.47 states/eV/cell
1.0
-2.9794 2.9794 1.8911
2.9794 -2.9794 1.8911
2.9794 2.9794 -1.8911
V Ni H
1 4 5
Direct
0.0000 0.0000 0.0000
0.2026 0.6055 0.8081
0.3945 0.2026 0.5971
0.6055 0.7974 0.4029
0.7974 0.3945 0.1919
0.0965 0.3146 0.4111
0.3146 0.9035 0.2180
0.5000 0.5000 0.0000
0.6854 0.0965 0.7820
0.9035 0.6854 0.5889

***

[6]
Na2ZrUN4 GGA-PBE relaxed; energy relative to the elements, uncorrected = -1086 meV per atom
1.0
5.7930 0.0000 0.0000
0.0000 3.4448 0.0000
-1.8701 0.0000 5.6905
Na Zr U N
2 1 1 4
Direct
0.0000 0.0000 0.0000
0.5000 0.5000 0.0000
0.0000 0.5000 0.5000
0.5000 0.0000 0.5000
0.2393 0.0000 0.6871
0.2788 0.5000 0.3124
0.7212 0.5000 0.6876
0.7607 0.0000 0.3129

***

[7]
PuTl2Re3O12 GGA-PBE relaxed; energy relative to the elements, uncorrected = -1667 meV per atom; D(E_F) = 11.77 states/eV/cell
1.0
3.6854 2.1278 6.2460
-3.6854 2.1278 6.2460
0.0000 -4.2555 6.2460
Pu Tl Re O
1 2 3 12
Direct
0.0000 0.0000 0.0000
0.3460 0.3460 0.3460
0.6540 0.6540 0.6540
0.0000 0.0000 0.5000
0.0000 0.5000 0.0000
0.5000 0.0000 0.0000
0.0660 0.6997 0.6997
0.0770 0.0770 0.6497
0.0770 0.6497 0.0770
0.3003 0.3003 0.9340
0.3003 0.9340 0.3003
0.3503 0.9230 0.9230
0.6497 0.0770 0.0770
0.6997 0.0660 0.6997
0.6997 0.6997 0.0660
0.9230 0.3503 0.9230
0.9230 0.9230 0.3502
0.9340 0.3003 0.3003

***

[8]
Hf6AlRu GGA-PBE relaxed; D(E_F) = 7.76 states/eV/cell; calculated formation energy = 174 meV per atom
1.0
3.0407 -5.3107 0.0000
3.0407 5.3107 0.0000
-2.9677 0.0000 5.3651
Hf Al Ru
6 1 1
Direct
0.0344 0.4510 0.2463
0.2448 0.2448 0.7595
0.4510 0.0344 0.2463
0.5490 0.9656 0.7537
0.7552 0.7552 0.2405
0.9656 0.5490 0.7537
0.5000 0.5000 0.5000
0.0000 0.0000 0.0000

***

Number 1: total moment 0.0000 μB per atom. Number 2: total moment 0.0000 μB per atom. Number 3: total moment 0.0000 μB per atom. Number 4: total moment 0.0000 μB per atom. Number 5: total moment 0.1705 μB per atom. Number 6: total moment 0.0000 μB per atom. Number 7: total moment 0.3635 μB per atom. Number 8: total moment 0.0000 μB per atom.